No. 1
DFT (GGA-PBE) results for an optimized crystal structure of Na2ZnAg2SnAu2.

```
Na2ZnAg2SnAu2
1.0
4.728 0.000 0.000
0.000 4.728 0.000
0.000 0.000 6.896
Ag Au Na Sn Zn
2 2 2 1 1
direct
0.000 0.500 0.270
0.500 0.000 0.730
0.500 0.000 0.269
0.000 0.500 0.731
0.500 0.500 0.000
0.000 0.000 0.500
0.000 0.000 0.000
0.500 0.500 0.500
```

final energy = -2.66 eV/atom
ρ = 9.05 Mg/m³


No. 2
DFT (GGA-PBE) results for an optimized crystal structure of Na2AgTe2Au.

```
Na2AgTe2Au
1.0
4.726 0.000 0.000
-2.363 4.093 0.000
0.000 0.000 8.407
Ag Au Na Te
1 1 2 2
direct
0.000 0.000 0.000
0.333 0.667 0.500
0.667 0.333 0.249
0.667 0.333 0.751
0.333 0.667 0.000
0.000 0.000 0.500
```

ΔE to the lowest computed polymorph = 0.000 eV per formula unit
final energy = -3.03 eV/atom
ρ = 6.19 Mg/m³


No. 3
DFT (GGA-PBE) results for an optimized crystal structure of Na2AgTe2Au.

```
Na2AgTe2Au
1.0
8.273 0.000 0.000
0.000 4.777 0.000
-2.763 0.000 15.604
Ag Au Na Te
4 4 8 8
direct
0.000 0.000 0.000
0.000 0.500 0.500
0.500 0.000 0.500
0.250 0.000 0.750
0.500 0.500 0.001
0.250 0.500 0.249
0.749 0.000 0.249
0.749 0.500 0.750
0.686 0.000 0.062
0.189 0.500 0.063
0.938 0.500 0.312
0.437 0.000 0.312
0.187 0.000 0.562
0.688 0.500 0.563
0.936 0.000 0.812
0.439 0.500 0.813
0.563 0.500 0.187
0.063 0.000 0.188
0.812 0.000 0.437
0.312 0.500 0.437
0.062 0.500 0.688
0.564 0.000 0.688
0.811 0.500 0.937
0.314 0.000 0.938
```

ΔE to the lowest computed polymorph = 0.164 eV per formula unit
final energy = -3.01 eV/atom
ρ = 6.53 Mg/m³


No. 4
DFT (GGA-PBE) results for an optimized crystal structure of Na2AgTe2Au.

```
Na2AgTe2Au
1.0
15.839 0.000 0.000
0.000 4.775 0.000
-2.886 0.000 16.295
Ag Au Na Te
8 8 16 16
direct
0.250 0.000 0.125
0.000 0.000 0.250
0.501 0.500 0.250
0.500 0.000 0.500
0.249 0.000 0.625
0.750 0.500 0.625
0.000 0.000 0.751
0.500 0.500 0.751
0.748 0.500 0.124
0.751 0.000 0.373
0.250 0.500 0.375
0.999 0.500 0.498
0.252 0.500 0.875
0.751 0.000 0.877
0.501 0.000 0.998
0.000 0.500 0.999
0.061 0.000 0.093
0.561 0.500 0.093
0.812 0.000 0.217
0.313 0.500 0.220
0.063 0.500 0.344
0.564 0.000 0.344
0.312 0.000 0.468
0.812 0.500 0.468
0.060 0.000 0.593
0.562 0.500 0.594
0.312 0.500 0.719
0.812 0.000 0.720
0.564 0.000 0.844
0.064 0.500 0.845
0.314 0.000 0.969
0.813 0.500 0.969
0.187 0.500 0.031
0.687 0.000 0.031
0.937 0.500 0.155
0.438 0.000 0.156
0.689 0.500 0.281
0.188 0.000 0.282
0.437 0.500 0.406
0.937 0.000 0.407
0.186 0.500 0.530
0.688 0.000 0.531
0.938 0.500 0.656
0.437 0.000 0.657
0.188 0.000 0.782
0.688 0.500 0.783
0.937 0.000 0.907
0.438 0.500 0.907
```

ΔE to the lowest computed polymorph = 0.165 eV per formula unit
final energy = -3.01 eV/atom
ρ = 6.53 Mg/m³


No. 5
DFT (GGA-PBE) results for an optimized crystal structure of NbAgAu.

```
NbAgAu
1.0
2.242 1.294 3.661
-2.242 1.294 3.661
0.000 -2.589 3.661
Ag Au Nb
1 1 1
direct
0.250 0.250 0.250
0.750 0.750 0.750
0.000 0.000 0.000
```

ΔE to the lowest computed polymorph = 0.505 eV per formula unit
formation enthalpy at 0 K = 0.621 eV/atom
final energy = -4.77 eV/atom
ρ = 10.36 Mg/m³


No. 6
DFT (GGA-PBE) results for an optimized crystal structure of Nb2AgAu.

```
Nb2AgAu
1.0
0.000 3.297 3.297
3.297 0.000 3.297
3.297 3.297 0.000
Ag Au Nb
1 1 2
direct
0.500 0.500 0.500
0.250 0.250 0.250
0.000 0.000 0.000
0.750 0.750 0.750
```

formation enthalpy at 0 K = 0.339 eV/atom
final energy = -6.23 eV/atom
ρ = 11.37 Mg/m³


No. 7
DFT (GGA-PBE) results for an optimized crystal structure of NbAg2Au2.

```
NbAg2Au2
1.0
-1.752 6.250 4.644
-6.967 1.158 3.718
5.620 -5.527 -1.252
Ag Au Nb
4 4 2
direct
0.375 0.625 0.250
0.875 0.625 0.250
0.375 0.125 0.750
0.375 0.625 0.750
0.189 0.189 0.000
0.811 0.811 0.000
0.561 0.061 0.500
0.939 0.439 0.500
0.000 0.000 0.000
0.750 0.250 0.500
```

formation enthalpy at 0 K = 0.185 eV/atom
final energy = -4.27 eV/atom
ρ = 12.20 Mg/m³


No. 8
DFT (GGA-PBE) results for an optimized crystal structure of NbAgAu.

```
NbAgAu
1.0
-2.814 2.944 1.770
-0.884 3.789 -2.139
-3.994 0.634 -1.834
Ag Au Nb
1 1 1
direct
0.250 0.250 0.250
0.000 0.000 0.000
0.750 0.750 0.750
```

ΔE to the lowest computed polymorph = 0.000 eV per formula unit
formation enthalpy at 0 K = 0.452 eV/atom
final energy = -4.94 eV/atom
ρ = 10.67 Mg/m³